! GGA-PBE Sm3Co2, optimized geometry; values from VASP
&SYSTEM
  ibrav = 0, nat = 10, ntyp = 2
/
ATOMIC_SPECIES
Co 58.93 Co.upf
Sm 150.36 Sm.upf
CELL_PARAMETERS angstrom
6.796 0.000 0.000
3.398 5.886 0.000
3.398 1.962 6.186
ATOMIC_POSITIONS crystal
Co 0.822 0.822 0.535
Co 0.178 0.178 0.465
Co 0.322 0.322 0.035
Co 0.678 0.678 0.965
Sm 0.250 0.600 0.250
Sm 0.600 0.900 0.250
Sm 0.750 0.400 0.750
Sm 0.400 0.100 0.750
Sm 0.900 0.250 0.250
Sm 0.100 0.750 0.750
! Total energy   -5.71 eV/atom
! ρ   7636 kg/m3
! Energy relative to the lowest polymorph listed for this composition   0.15 eV/f.u.
! Total moment   0.000 μB per cell